VSbNO2: optimized geometry, PBE with a Hubbard U.

Computed properties:
**N(E_F)**: 0.703 states/eV/cell
**Raw total energy**: -6.582 eV/atom
**Theoretical density**: 6.2 g cm⁻³

The structure in POSCAR format:
```
VSbNO2
1.0
3.860 0.000 0.000
0.000 3.860 0.000
0.000 0.000 3.961
Sb N O V
1 1 2 1
Direct
0.500 0.500 0.500 Sb
0.000 0.000 0.500 N
0.000 0.500 0.000 O
0.500 0.000 0.000 O
0.000 0.000 0.000 V
```